An optimized crystal structure of CuTe2As2. Source: Alexandria via LeMat-Bulk, functional GGA-PBE.

Cell: 7.6603 7.6603 4.1164 Å, 90.00 90.00 90.00°
Last column: nearest neighbours and their distance in Å.
Fractional positions:
As  0.8165  0.6835  0.0000  2 Te 2.71, 2 Cu 2.80
As  0.3165  0.8165  0.0000  2 Te 2.71, 2 Cu 2.80
As  0.1835  0.3165  0.0000  2 Te 2.71, 2 Cu 2.80
As  0.6835  0.1835  0.0000  2 Te 2.71, 2 Cu 2.80
Te  0.3457  0.1543  0.5000  2 As 2.71
Te  0.6543  0.8457  0.5000  2 As 2.71
Te  0.1543  0.6543  0.5000  2 As 2.71
Te  0.8457  0.3457  0.5000  2 As 2.71
Cu  0.0000  0.0000  0.0000  4 As 2.80
Cu  0.5000  0.5000  0.0000  4 As 2.80

symmetry: P4/mbm
E_form (uncorrected): 0.36 eV/atom
magnetization: 0.0 μB/f.u.